# PBE-GGA BeCo2Rh, optimized geometry
# Total magnetic moment = 0.3 μB per formula unit
# DFT total energy = -51.18 eV for the cell shown
# Volume = 86.4 Å³ per cell
# ΔH_f (0 K) = -0.0751 eV/atom
data_BeCo2Rh
_chemical_formula_sum 'Be2 Co4 Rh2'
_cell_length_a 3.4176
_cell_length_b 3.4176
_cell_length_c 7.4006
_cell_angle_alpha 90.00
_cell_angle_beta 90.00
_cell_angle_gamma 90.00
_symmetry_space_group_name_H-M 'I 4/m m m'
_symmetry_Int_Tables_number 139
_symmetry_space_group_name_Hall '-I 4 2'
loop_
_atom_site_label
_atom_site_type_symbol
_atom_site_fract_x
_atom_site_fract_y
_atom_site_fract_z
Be1 Be 0.0000 0.0000 0.0000
Co1 Co 0.0000 0.5000 0.2500
Rh1 Rh 0.0000 0.0000 0.5000